No. 1
YTm2Au6: optimized geometry, PBE.

Space-group type: No. 12
N(E_F) in states/eV per cell: 4.36
Calculated formation energy in eV per atom: -0.805
Mass density in g cm⁻³: 14.08
Spin magnetization in μB per formula unit: 0.00

a = 5.2655 Å, b = 5.2193 Å, c = 8.4172 Å
α = 71.94°, β = 80.98°, γ = 59.62°
With the nearest neighbours (Å) after each atom.
Fractional positions:
Y (0.0000, 0.0000, 0.5000)  10 Au 2.99-3.07
Tm (0.5000, 0.8345, 0.8309)  10 Au 3.01-3.07
Tm (0.5000, 0.1655, 0.1691)  10 Au 3.01-3.07
Au (0.1686, 0.8346, 0.1655)  5 Au 3.00-3.08, 4 Tm 3.01-3.07, 1 Y 3.07
Au (0.8314, 0.4999, 0.1655)  5 Au 3.00-3.08, 4 Tm 3.01-3.07, 1 Y 3.07
Au (0.8314, 0.1654, 0.8345)  5 Au 3.00-3.08, 4 Tm 3.01-3.07, 1 Y 3.07
Au (0.1686, 0.5001, 0.8345)  5 Au 3.00-3.08, 4 Tm 3.01-3.07, 1 Y 3.07
Au (0.3288, 0.3279, 0.5000)  5 Au 2.95-3.12, 3 Y 2.99-3.05, 2 Tm 3.03
Au (0.6712, 0.6721, 0.5000)  5 Au 2.95-3.12, 3 Y 2.99-3.05, 2 Tm 3.03

No. 2
Y2TmAu3: optimized geometry, PBE.

Space-group type: No. 123
N(E_F) in states/eV per cell: 1.90
Calculated formation energy in eV per atom: -0.875
Mass density in g cm⁻³: 11.24
Spin magnetization in μB per formula unit: 0.00

a = 3.5681 Å, b = 3.5681 Å, c = 10.8808 Å
α = 90.00°, β = 90.00°, γ = 90.00°
With the nearest neighbours (Å) after each atom.
Fractional positions:
Y (0.5000, 0.5000, 0.8316)  8 Au 3.12-3.14
Y (0.5000, 0.5000, 0.1684)  8 Au 3.12-3.14
Tm (0.5000, 0.5000, 0.5000)  8 Au 3.07
Au (0.0000, 0.0000, 0.0000)  8 Y 3.12
Au (0.0000, 0.0000, 0.6605)  4 Tm 3.07, 4 Y 3.14
Au (0.0000, 0.0000, 0.3395)  4 Tm 3.07, 4 Y 3.14